--- a ---
CaPr2Mg4: relaxed, PBE-GGA. Values from VASP.

Computed properties:
ρ (g/cm³): 3.38
M_tot (μB per cell): 0.00

```
&SYSTEM
  ibrav = 0, nat = 7, ntyp = 3
/
ATOMIC_SPECIES
Mg 24.30 Mg.upf
Ca 40.08 Ca.upf
Pr 140.91 Pr.upf
ATOMIC_POSITIONS crystal
Mg 0.8629 0.8629 0.4112
Mg 0.5693 0.5693 0.2920
Mg 0.4307 0.4307 0.7080
Mg 0.1371 0.1371 0.5888
Ca 0.0000 0.0000 0.0000
Pr 0.7195 0.7195 0.8416
Pr 0.2805 0.2805 0.1584
CELL_PARAMETERS angstrom
-0.1424 1.9884 5.1099
-2.2297 -2.9692 4.0370
6.2447 -3.6078 4.5217
```



--- b ---
CaPr2Mg4: relaxed, PBE-GGA. Values from VASP.

Computed properties:
ρ (g/cm³): 2.65
M_tot (μB per cell): 0.00

```
&SYSTEM
  ibrav = 0, nat = 7, ntyp = 3
/
ATOMIC_SPECIES
Mg 24.30 Mg.upf
Pr 140.91 Pr.upf
Ca 40.08 Ca.upf
ATOMIC_POSITIONS crystal
Mg 0.1888 0.1888 0.3776
Mg 0.0000 0.5000 0.0000
Mg 0.8112 0.8112 0.6224
Mg 0.5000 0.0000 0.0000
Pr 0.3922 0.3922 0.7845
Pr 0.6078 0.6078 0.2155
Ca 0.0000 0.0000 0.0000
CELL_PARAMETERS angstrom
-3.3327 4.4899 0.7390
-3.3074 -1.7610 -4.2157
-1.2586 -5.6488 7.1201
```



Energy above the most stable structure, in kJ/mol of atoms: a 0.0; b 40.5



--- a ---
SrCaPrMg: relaxed, PBE-GGA. Values from VASP.

Computed properties:
ρ (g/cm³): 3.28
M_tot (μB per cell): 0.00

```
&SYSTEM
  ibrav = 0, nat = 4, ntyp = 4
/
ATOMIC_SPECIES
Pr 140.91 Pr.upf
Sr 87.62 Sr.upf
Ca 40.08 Ca.upf
Mg 24.30 Mg.upf
ATOMIC_POSITIONS crystal
Pr 0.7500 0.7500 0.7500
Sr 0.2500 0.2500 0.2500
Ca 0.0000 0.0000 0.0000
Mg 0.5000 0.5000 0.5000
CELL_PARAMETERS angstrom
5.9386 0.0000 0.0000
2.9693 5.1430 0.0000
2.9693 1.7143 4.8489
```



--- b ---
SrCaPrMg: relaxed, PBE-GGA. Values from VASP.

Computed properties:
ρ (g/cm³): 3.20
M_tot (μB per cell): 0.00

```
&SYSTEM
  ibrav = 0, nat = 4, ntyp = 4
/
ATOMIC_SPECIES
Mg 24.30 Mg.upf
Sr 87.62 Sr.upf
Pr 140.91 Pr.upf
Ca 40.08 Ca.upf
ATOMIC_POSITIONS crystal
Mg 0.0000 0.0000 0.5498
Sr 0.5000 0.5000 0.7831
Pr 0.5000 0.5000 0.3584
Ca 0.0000 0.0000 0.0933
CELL_PARAMETERS angstrom
-1.6546 -3.4676 1.0844
-0.1391 -1.1302 -3.8264
8.6822 -3.8828 0.8312
```



Energy above the most stable structure, in kJ/mol of atoms: a 7.6; b 0.0



--- a ---
CaTbPrMg: relaxed, PBE-GGA. Values from VASP.

Computed properties:
ρ (g/cm³): 4.60
M_tot (μB per cell): 0.00

```
&SYSTEM
  ibrav = 0, nat = 4, ntyp = 4
/
ATOMIC_SPECIES
Tb 158.93 Tb.upf
Pr 140.91 Pr.upf
Mg 24.30 Mg.upf
Ca 40.08 Ca.upf
ATOMIC_POSITIONS crystal
Tb 0.0000 0.0000 0.5501
Pr 0.5000 0.5000 0.8019
Mg 0.5000 0.5000 0.3335
Ca 0.0000 0.0000 0.0992
CELL_PARAMETERS angstrom
3.6666 0.0000 0.0000
0.0000 3.6666 0.0000
0.0000 0.0000 9.7874
```



--- b ---
CaTbPrMg: relaxed, PBE-GGA. Values from VASP.

Computed properties:
ρ (g/cm³): 4.70
M_tot (μB per cell): 0.00

```
&SYSTEM
  ibrav = 0, nat = 4, ntyp = 4
/
ATOMIC_SPECIES
Pr 140.91 Pr.upf
Tb 158.93 Tb.upf
Mg 24.30 Mg.upf
Ca 40.08 Ca.upf
ATOMIC_POSITIONS crystal
Pr 0.7500 0.7500 0.7500
Tb 0.2500 0.2500 0.2500
Mg 0.0000 0.0000 0.0000
Ca 0.5000 0.5000 0.5000
CELL_PARAMETERS angstrom
5.6660 0.0000 0.0000
2.8330 4.9069 0.0000
2.8330 1.6356 4.6263
```



Energy above the most stable structure, in kJ/mol of atoms: a 0.0; b 6.6